1.
# RbTaAs2Pd GGA-PBE optimized geometry
data_RbTaAs2Pd
_symmetry_space_group_name_H-M 'P 4/m m m'
_symmetry_Int_Tables_number 123
_symmetry_space_group_name_Hall '-P 4 2'
_cell_length_a 5.050
_cell_length_b 5.050
_cell_length_c 5.229
_cell_angle_alpha 90.00
_cell_angle_beta 90.00
_cell_angle_gamma 90.00
loop_
_atom_site_label
_atom_site_type_symbol
_atom_site_fract_x
_atom_site_fract_y
_atom_site_fract_z
Rb1 Rb 0.000 0.000 0.000
Ta1 Ta 0.500 0.500 0.500
As1 As 0.000 0.500 0.500
Pd1 Pd 0.500 0.500 0.000
# Formation energy ... 0.108 eV/atom
# Calculated density ... 6.5 Mg/m³
# DOS at the Fermi energy ... 5.8 states/eV/f.u.



2.
# CaCr2I GGA-PBE optimized geometry
data_CaCr2I
_symmetry_space_group_name_H-M 'I -4 2 d'
_symmetry_Int_Tables_number 122
_symmetry_space_group_name_Hall 'I -4 2bw'
_cell_length_a 8.679
_cell_length_b 8.679
_cell_length_c 6.193
_cell_angle_alpha 90.00
_cell_angle_beta 90.00
_cell_angle_gamma 90.00
loop_
_atom_site_label
_atom_site_type_symbol
_atom_site_fract_x
_atom_site_fract_y
_atom_site_fract_z
Ca1 Ca 0.000 0.000 0.000
Cr1 Cr 0.217 0.250 0.625
I1 I 0.000 0.000 0.500
# Formation energy from raw total energies ... 698 meV/atom
# Calculated density ... 3.9 Mg/m³
# E above lowest polymorph ... 0 meV/atom
# DOS at the Fermi energy ... 4.0 states/eV/f.u.



3.
# La2MgSc GGA-PBE optimized geometry
data_La2MgSc
_symmetry_space_group_name_H-M 'F -4 3 m'
_symmetry_Int_Tables_number 216
_symmetry_space_group_name_Hall 'F -4 2 3'
_cell_length_a 7.845
_cell_length_b 7.845
_cell_length_c 7.845
_cell_angle_alpha 90.00
_cell_angle_beta 90.00
_cell_angle_gamma 90.00
loop_
_atom_site_label
_atom_site_type_symbol
_atom_site_fract_x
_atom_site_fract_y
_atom_site_fract_z
La1 La 0.000 0.000 0.000
La2 La 0.250 0.250 0.250
Mg1 Mg 0.250 0.250 0.750
Sc1 Sc 0.000 0.000 0.500
# Formation energy ... 0.115 eV/atom
# Calculated density ... 4.8 Mg/m³
# DOS at the Fermi energy ... 6.2 states/eV/f.u.



4.
# BC2 GGA-PBE optimized geometry
data_BC2
_symmetry_space_group_name_H-M 'P 1 m 1'
_symmetry_Int_Tables_number 6
_cell_length_a 4.605
_cell_length_b 2.579
_cell_length_c 6.452
_cell_angle_alpha 90.00
_cell_angle_beta 90.24
_cell_angle_gamma 90.00
loop_
_symmetry_equiv_pos_as_xyz
'x,y,z'
'x,-y,z'
loop_
_atom_site_label
_atom_site_type_symbol
_atom_site_fract_x
_atom_site_fract_y
_atom_site_fract_z
B1 B 0.000 0.000 0.000
B2 B 0.159 0.500 0.661
B3 B 0.320 0.000 0.330
B4 B 0.500 0.500 0.997
C1 C 0.168 0.500 0.912
C2 C 0.353 0.000 0.585
C3 C 0.517 0.500 0.248
C4 C 0.668 0.000 0.658
C5 C 0.669 0.000 0.895
C6 C 0.826 0.500 0.331
C7 C 0.827 0.500 0.576
C8 C 0.987 0.000 0.257
# Formation energy ... 0.373 eV/atom
# Calculated density ... 3.0 Mg/m³
# E above lowest polymorph ... 133 meV/atom
# DOS at the Fermi energy ... 0.6 states/eV/f.u.



> What is the formula in the second record?

CaCr2I



> What is the formula in the first record?

RbTaAs2Pd



> Which value of calculated density does entry 1 give?

6.5 Mg/m³